1.
Density functional theory data (PBE-GGA) for BaCa2ZnPd after structural relaxation.

Lattice parameters (Å, degrees): 5.6092 5.6092 5.1586 90.00 90.00 90.00
Last column: nearest neighbours and their distance in Å.
Fractional coordinates of all 5 atoms:
Ba 0.0000 0.0000 0.0000  8 Ca 3.81, 4 Zn 3.97
Ca 0.0000 0.5000 0.5000  2 Pd 2.80
Ca 0.5000 0.0000 0.5000  2 Pd 2.80
Zn 0.5000 0.5000 0.0000  2 Pd 2.58
Pd 0.5000 0.5000 0.5000  2 Zn 2.58, 4 Ca 2.80

Values from the calculation:
Polymorph energy (0 for the lowest one)   0.0000 eV per atom
DOS(E_F)   4.0 states/eV per cell
Space group   No. 123
Calculated density   3.98 g cm⁻³
Magnetization   0.000 μB/atom
Energy of formation   -254 meV/atom

***

2.
Density functional theory data (PBE-GGA) for Sr2WAu after structural relaxation.

Lattice parameters (Å, degrees): 6.8456 6.8456 6.8456 102.37 102.37 124.86
Last column: nearest neighbours and their distance in Å.
Fractional coordinates of all 8 atoms:
Sr 0.1011 0.6250 0.9761  2 Au 3.00, 2 Sr 3.19, 2 W 3.28
Sr 0.3750 0.3511 0.4761  2 Au 3.00, 2 Sr 3.19, 2 W 3.28
Sr 0.6489 0.1250 0.0239  2 Au 3.00, 2 Sr 3.19, 2 W 3.28
Sr 0.8750 0.8989 0.5239  2 Au 3.00, 2 Sr 3.19, 2 W 3.28
W 0.2500 0.7500 0.5000  2 Au 3.17, 4 Sr 3.28
W 0.5000 0.5000 0.0000  2 Au 3.17, 4 Sr 3.28
Au 0.0000 0.0000 0.0000  4 Sr 3.00, 2 W 3.17
Au 0.7500 0.2500 0.5000  4 Sr 3.00, 2 W 3.17

Values from the calculation:
Polymorph energy (0 for the lowest one)   0.4350 eV per atom
DOS(E_F)   6.7 states/eV per cell
Space group   No. 122
Calculated density   7.91 g cm⁻³
Magnetization   0.824 μB/atom
Energy of formation   941 meV/atom

***

3.
Density functional theory data (PBE-GGA) for La4Ag5Sb7 after structural relaxation.

Lattice parameters (Å, degrees): 11.7619 11.7619 11.7619 149.24 149.24 44.06
Last column: nearest neighbours and their distance in Å.
Fractional coordinates of all 16 atoms:
La 0.1247 0.6354 0.0000  7 Sb 3.25-3.42, 5 Ag 3.45-3.64
La 0.3646 0.3646 0.4893  7 Sb 3.25-3.42, 5 Ag 3.45-3.64
La 0.6354 0.1247 0.0000  7 Sb 3.25-3.42, 5 Ag 3.45-3.64
La 0.8753 0.8753 0.5107  7 Sb 3.25-3.42, 5 Ag 3.45-3.64
Ag 0.2489 0.2489 0.0000  4 Sb 2.90-2.92, 4 Ag 3.12
Ag 0.2500 0.7500 0.5000  4 Sb 2.91, 4 Ag 3.12
Ag 0.5000 0.5000 0.0000  4 Sb 3.12, 4 La 3.45
Ag 0.7500 0.2500 0.5000  4 Sb 2.91, 4 Ag 3.12
Ag 0.7511 0.7511 0.0000  4 Sb 2.90-2.92, 4 Ag 3.12
Sb 0.0000 0.0000 0.0000  4 Sb 3.12, 4 La 3.39
Sb 0.0000 0.5000 0.5000  2 Sb 3.12, 2 Ag 3.12, 4 La 3.42
Sb 0.0912 0.0912 0.5083  4 Ag 2.90-2.92
Sb 0.4171 0.9088 0.0000  4 Ag 2.90-2.92
Sb 0.5000 0.0000 0.5000  2 Sb 3.12, 2 Ag 3.12, 4 La 3.42
Sb 0.5829 0.5829 0.4917  4 Ag 2.90-2.92
Sb 0.9088 0.4171 0.0000  4 Ag 2.90-2.92

Values from the calculation:
DOS(E_F)   3.5 states/eV per cell
Space group   No. 121
Calculated density   7.62 g cm⁻³
Magnetization   0.000 μB/atom
Uncorrected formation energy   -0.691 eV/atom

***

4.
Density functional theory data (PBE-GGA) for RuCS2 after structural relaxation.

Lattice parameters (Å, degrees): 5.5670 5.5670 5.5670 125.35 125.35 80.95
Last column: nearest neighbours and their distance in Å.
Fractional coordinates of all 8 atoms:
Ru 0.0000 0.0000 0.0000  4 S 2.25
Ru 0.7500 0.2500 0.5000  4 S 2.25
C 0.2500 0.7500 0.5000  4 S 1.95
C 0.5000 0.5000 0.0000  4 S 1.95
S 0.1728 0.6250 0.0478  2 C 1.95
S 0.3750 0.4228 0.5478  2 C 1.95
S 0.5772 0.1250 0.9522  2 C 1.95
S 0.8750 0.8272 0.4522  2 C 1.95

Values from the calculation:
DOS(E_F)   4.5 states/eV per cell
Space group   No. 122
Calculated density   5.32 g cm⁻³
Magnetization   0.000 μB/atom
Uncorrected formation energy   0.828 eV/atom

***

5.
Density functional theory data (PBE-GGA) for MgAgIr2Cl after structural relaxation.

Lattice parameters (Å, degrees): 4.7072 4.7072 4.9883 90.00 90.00 90.00
Last column: nearest neighbours and their distance in Å.
Fractional coordinates of all 5 atoms:
Mg 0.0000 0.0000 0.0000  4 Ir 2.35, 2 Ag 2.49
Ag 0.0000 0.0000 0.5000  2 Mg 2.49
Ir 0.0000 0.5000 0.0000  2 Mg 2.35
Ir 0.5000 0.0000 0.0000  2 Mg 2.35
Cl 0.5000 0.5000 0.5000  4 Ag 3.33, 8 Ir 3.43

Values from the calculation:
Polymorph energy (0 for the lowest one)   0.1835 eV per atom
DOS(E_F)   4.5 states/eV per cell
Space group   No. 123
Calculated density   8.29 g cm⁻³
Magnetization   0.435 μB/atom
Uncorrected formation energy   1.531 eV/atom

***

6.
Density functional theory data (PBE-GGA) for TcMoRh2 after structural relaxation.

Lattice parameters (Å, degrees): 4.3802 4.3802 4.3802 60.00 60.00 60.00
Last column: nearest neighbours and their distance in Å.
Fractional coordinates of all 4 atoms:
Tc 0.0000 0.0000 0.0000  4 Rh 2.68, 4 Mo 2.68
Mo 0.2500 0.2500 0.2500  4 Rh 2.68, 4 Tc 2.68
Rh 0.5000 0.5000 0.5000  4 Mo 2.68, 4 Rh 2.68
Rh 0.7500 0.7500 0.7500  4 Rh 2.68, 4 Tc 2.68

Values from the calculation:
Polymorph energy (0 for the lowest one)   0.3658 eV per atom
DOS(E_F)   4.9 states/eV per cell
Space group   No. 216
Calculated density   11.17 g cm⁻³
Magnetization   0.000 μB/atom
Energy of formation   157 meV/atom

***

7.
Density functional theory data (PBE-GGA) for HfPt after structural relaxation.

Lattice parameters (Å, degrees): 4.2281 4.2281 4.2281 60.00 60.00 60.00
Last column: nearest neighbours and their distance in Å.
Fractional coordinates of all 2 atoms:
Hf 0.0000 0.0000 0.0000  4 Pt 2.59
Pt 0.7500 0.7500 0.7500  4 Hf 2.59

Values from the calculation:
DOS(E_F)   0.4 states/eV per cell
Space group   No. 216
Calculated density   11.61 g cm⁻³
Magnetization   0.000 μB/atom
Energy of formation   -307 meV/atom

***

8.
Density functional theory data (PBE-GGA) for MnB3I after structural relaxation.

Lattice parameters (Å, degrees): 4.1450 4.1450 4.1450 90.00 90.00 90.00
Last column: nearest neighbours and their distance in Å.
Fractional coordinates of all 5 atoms:
Mn 0.0000 0.0000 0.0000  6 B 2.07
B 0.0000 0.0000 0.5000  2 Mn 2.07
B 0.0000 0.5000 0.0000  2 Mn 2.07
B 0.5000 0.0000 0.0000  2 Mn 2.07
I 0.5000 0.5000 0.5000  12 B 2.93

Values from the calculation:
Polymorph energy (0 for the lowest one)   0.0000 eV per atom
DOS(E_F)   2.7 states/eV per cell
Space group   No. 221
Calculated density   5.00 g cm⁻³
Magnetization   0.511 μB/atom
Uncorrected formation energy   1.493 eV/atom